No. 1
Mn2GaGe | PBE | optimized geometry

Cell: 3.9266 3.9266 12.7002 Å, 90.00 90.00 120.00°
Site moments in Bohr magnetons follow the coordinates.
Fractional positions:
1 Mn 0.0000 0.0000 0.5427  1.58
2 Mn 0.3333 0.6667 0.2094  1.58
3 Mn 0.6667 0.3333 0.8760  1.58
4 Mn 0.0000 0.0000 0.1725  -0.58
5 Mn 0.3333 0.6667 0.8392  -0.58
6 Mn 0.6667 0.3333 0.5059  -0.58
7 Ga 0.0000 0.0000 0.9698  0.02
8 Ga 0.3333 0.6667 0.6365  0.02
9 Ga 0.6667 0.3333 0.3032  0.02
10 Ge 0.0000 0.0000 0.7500  -0.03
11 Ge 0.3333 0.6667 0.4167  -0.03
12 Ge 0.6667 0.3333 0.0833  -0.03


No. 2
Mn2GaGe | PBE | optimized geometry

Cell: 7.9392 2.8410 4.9150 Å, 90.00 90.00 90.00°
Site moments in Bohr magnetons follow the coordinates.
Fractional positions:
1 Mn 0.7477 0.0000 0.5602  2.51
2 Mn 0.2523 0.0000 0.5602  2.51
3 Mn 0.2477 0.5000 0.0602  2.51
4 Mn 0.7523 0.5000 0.0602  2.51
5 Ga 0.0000 0.5000 0.3960  -0.12
6 Ga 0.5000 0.0000 0.8960  -0.12
7 Ge 0.0000 0.0000 0.8896  -0.12
8 Ge 0.5000 0.5000 0.3896  -0.12


No. 3
Mn2GaGe | PBE | optimized geometry

Cell: 2.8062 4.7973 4.8038 Å, 67.82 72.95 73.15°
Site moments in Bohr magnetons follow the coordinates.
Fractional positions:
1 Mn 0.2282 0.5373 0.6472  2.30
2 Mn 0.8171 0.9507 0.0588  2.30
3 Ga 0.5256 0.0116 0.5848  -0.13
4 Ge 0.5202 0.4823 0.1152  -0.13


No. 4
MnGa2Ge | PBE | optimized geometry

Cell: 4.3656 3.8912 3.8912 Å, 90.00 90.00 90.00°
Site moments in Bohr magnetons follow the coordinates.
Fractional positions:
1 Ge 0.5000 0.5000 0.5000  -0.03
2 Mn 0.5000 0.0000 0.0000  3.56
3 Ga 0.0000 0.0000 0.5000  -0.02
4 Ga 0.0000 0.5000 0.0000  -0.02


No. 5
MnGaGe | PBE | optimized geometry

ΔE to the lowest computed polymorph = 339.0 meV/atom

Cell: 2.6995 4.5737 4.5737 Å, 120.00 90.00 90.00°
Site moments in Bohr magnetons follow the coordinates.
Fractional positions:
1 Ge 0.8313 0.6667 0.3333  -0.01
2 Mn 0.3335 0.3333 0.6667  3.49
3 Ga 0.8352 0.0000 0.0000  -0.04


No. 6
Mn2GaGe | PBE | optimized geometry

Cell: 3.3824 3.3824 5.1120 Å, 90.00 90.00 90.00°
Site moments in Bohr magnetons follow the coordinates.
Fractional positions:
1 Mn 0.5000 0.5000 0.9868  2.89
2 Mn 0.0000 0.0000 0.7183  3.05
3 Ga 0.5000 0.5000 0.5004  -0.09
4 Ge 0.0000 0.0000 0.2006  -0.12


No. 7
Mn2GaGe | PBE | optimized geometry

Cell: 4.3150 2.7695 9.1398 Å, 90.00 108.71 90.00°
Site moments in Bohr magnetons follow the coordinates.
Fractional positions:
1 Mn 0.1376 0.0000 0.4392  1.43
2 Mn 0.1376 0.5000 0.9392  1.43
3 Mn 0.7797 0.0000 0.7072  1.18
4 Mn 0.7797 0.5000 0.2072  1.18
5 Ga 0.2696 0.0000 0.1900  -0.06
6 Ga 0.2696 0.5000 0.6900  -0.06
7 Ge 0.6500 0.0000 0.9606  -0.07
8 Ge 0.6500 0.5000 0.4606  -0.07


No. 8
Mn2GaGe | PBE | optimized geometry

Cell: 5.1824 4.1694 7.1977 Å, 90.00 117.78 90.00°
Site moments in Bohr magnetons follow the coordinates.
Fractional positions:
1 Mn 0.9993 0.0000 0.3340  0.35
2 Mn 0.0007 0.0000 0.6660  0.35
3 Mn 0.9993 0.5000 0.8340  0.35
4 Mn 0.0007 0.5000 0.1660  0.35
5 Ga 0.5000 0.0000 0.5000  -0.03
6 Ga 0.5000 0.5000 0.0000  -0.03
7 Ge 0.0000 0.0000 0.0000  -0.02
8 Ge 0.0000 0.5000 0.5000  -0.02


No. 9
MnGaGe | PBE | optimized geometry

ΔE to the lowest computed polymorph = 0.0 meV/atom

Cell: 3.9410 3.9410 5.8893 Å, 90.00 90.00 90.00°
Site moments in Bohr magnetons follow the coordinates.
Fractional positions:
1 Mn 0.0000 0.0000 0.0000  2.22
2 Mn 0.5000 0.5000 0.0000  2.22
3 Ga 0.0000 0.5000 0.7040  -0.04
4 Ga 0.5000 0.0000 0.2960  -0.04
5 Ge 0.0000 0.5000 0.2790  -0.08
6 Ge 0.5000 0.0000 0.7210  -0.08


No. 10
Mn9Ga2Ge | PBE | optimized geometry

Cell: 4.5737 4.5737 8.6381 Å, 74.65 74.65 60.00°
Site moments in Bohr magnetons follow the coordinates.
Fractional positions:
1 Mn 0.3383 0.3383 0.9852  0.16
2 Mn 0.6617 0.6617 0.0148  0.16
3 Mn 0.5000 0.5000 0.5000  1.90
4 Mn 0.5903 0.5903 0.7445  0.10
5 Mn 0.5903 0.0750 0.7445  0.10
6 Mn 0.0750 0.5903 0.7445  0.10
7 Mn 0.4097 0.4097 0.2555  0.10
8 Mn 0.9250 0.4097 0.2555  0.10
9 Mn 0.4097 0.9250 0.2555  0.10
10 Ga 0.1405 0.1405 0.5786  -0.03
11 Ga 0.8595 0.8595 0.4214  -0.03
12 Ge 0.0000 0.0000 0.0000  0.00


No. 11
MnGa3Ge | PBE | optimized geometry

ΔE to the lowest computed polymorph = 370.2 meV/atom

Cell: 4.9073 4.9073 4.9073 Å, 90.00 90.00 90.00°
Site moments in Bohr magnetons follow the coordinates.
Fractional positions:
1 Ge 0.0000 0.0000 0.0000  -0.01
2 Mn 0.5000 0.5000 0.5000  4.26
3 Ga 0.0000 0.5000 0.0000  -0.07
4 Ga 0.0000 0.0000 0.5000  -0.05
5 Ga 0.5000 0.0000 0.0000  -0.04


No. 12
MnGaGe | PBE | optimized geometry

ΔE to the lowest computed polymorph = 5.5 meV/atom

Cell: 3.9404 3.9404 6.5039 Å, 107.63 107.63 90.00°
Site moments in Bohr magnetons follow the coordinates.
Fractional positions:
1 Mn 0.0000 0.5000 0.0000  2.17
2 Mn 0.5000 0.0000 0.0000  2.17
3 Ga 0.6455 0.6455 0.2911  -0.06
4 Ga 0.3545 0.3545 0.7089  -0.06
5 Ge 0.8588 0.8588 0.7176  -0.08
6 Ge 0.1412 0.1412 0.2824  -0.08


What mass density values result from the calculations? In sequence: 7.41 7.56 7.47 6.71 6.70 7.16 8.10 6.09 7.16 7.87 4.73 7.18 g/cm³.
What VASP energy values result from the calculations? In sequence: -6.419 -6.511 -6.497 -4.856 -5.377 -6.486 -6.455 -6.299 -5.716 -7.515 -3.846 -5.711 eV per atom.
What energy of formation values result from the calculations? In sequence: 0.3 -0.1 0.0 0.4 0.7 0.0 0.2 0.8 -0.3 3.0 3.6 -0.3 eV per formula unit.